1.
! YHo2Rh, relaxed, DFT PBE-GGA; values from VASP
&SYSTEM
  ibrav = 0, nat = 4, ntyp = 3
/
ATOMIC_SPECIES
Y 88.91 Y.upf
Rh 102.91 Rh.upf
Ho 164.93 Ho.upf
CELL_PARAMETERS angstrom
3.495 0.000 0.000
0.000 3.495 0.000
0.000 0.000 8.575
ATOMIC_POSITIONS crystal
Y 0.500 0.500 0.500
Rh 0.500 0.500 0.000
Ho 0.000 0.000 0.812
Ho 0.000 0.000 0.188
! - Raw total energy: -24.64 eV per formula unit
! - Energy above the most stable polymorph in this dataset: 117 meV/atom



2.
! Y2Ho2Rh3, relaxed, DFT PBE-GGA; values from VASP
&SYSTEM
  ibrav = 0, nat = 7, ntyp = 3
/
ATOMIC_SPECIES
Y 88.91 Y.upf
Ho 164.93 Ho.upf
Rh 102.91 Rh.upf
CELL_PARAMETERS angstrom
0.557 2.463 -4.114
-0.962 -4.720 -0.129
-7.755 1.500 2.694
ATOMIC_POSITIONS crystal
Y 0.753 0.377 0.129
Y 0.247 0.623 0.871
Ho 0.251 0.125 0.376
Ho 0.749 0.875 0.624
Rh 0.000 0.000 0.000
Rh 0.499 0.249 0.749
Rh 0.501 0.751 0.251
! - Raw total energy: -49.56 eV per formula unit
! - Energy above the most stable polymorph in this dataset: 0 meV/atom



3.
! Y3HoRh4, relaxed, DFT PBE-GGA; values from VASP
&SYSTEM
  ibrav = 0, nat = 8, ntyp = 3
/
ATOMIC_SPECIES
Y 88.91 Y.upf
Rh 102.91 Rh.upf
Ho 164.93 Ho.upf
CELL_PARAMETERS angstrom
4.677 0.000 -1.262
-0.337 4.669 -1.247
-0.441 -0.510 7.660
ATOMIC_POSITIONS crystal
Y 0.000 0.500 0.000
Y 0.750 0.250 0.499
Y 0.250 0.750 0.501
Rh 0.376 0.376 0.752
Rh 0.624 0.624 0.248
Rh 0.124 0.124 0.248
Rh 0.876 0.876 0.752
Ho 0.500 0.000 0.000
! - Raw total energy: -60.25 eV per formula unit